1.
A plane-wave DFT calculation with PBE was carried out for a geometry-optimized Ti8AlNi2 structure.

Results
Formation energy from the elements, kJ/mol of formula units: -112

a b c (Å): 4.319 7.006 7.006
angles (deg): 116.95 99.00 99.00
Fractional coordinates of all 11 atoms:
Ti 0.911 0.916 0.689
Ti 0.911 0.689 0.916
Ti 0.310 0.608 0.608
Ti 0.500 0.767 0.233
Ti 0.500 0.233 0.767
Ti 0.690 0.392 0.392
Ti 0.089 0.311 0.084
Ti 0.089 0.084 0.311
Al 0.500 0.000 0.000
Ni 0.000 0.313 0.687
Ni 0.000 0.687 0.313

---

2.
A plane-wave DFT calculation with PBE was carried out for a geometry-optimized ZrV2Sb2 structure.

Results
Formation energy (no corrections), eV/atom: -0.0141

a b c (Å): 7.581 7.581 3.318
angles (deg): 90.00 90.00 90.00
Fractional coordinates of all 10 atoms:
Sb 0.175 0.675 0.500
Sb 0.675 0.825 0.500
Sb 0.825 0.325 0.500
Sb 0.325 0.175 0.500
Zr 0.000 0.000 0.000
Zr 0.500 0.500 0.000
V 0.385 0.885 0.000
V 0.885 0.615 0.000
V 0.615 0.115 0.000
V 0.115 0.385 0.000

---

3.
A plane-wave DFT calculation with PBE was carried out for a geometry-optimized Tb2YScIn2 structure.

Results
Formation energy from the elements, kJ/mol of formula units: -210

a b c (Å): 5.279 6.712 9.214
angles (deg): 90.00 90.00 90.00
Fractional coordinates of all 12 atoms:
Tb 0.500 0.008 0.008
Tb 0.000 0.267 0.164
Tb 0.500 0.508 0.992
Tb 0.000 0.767 0.836
Y 0.000 0.006 0.493
Y 0.000 0.506 0.507
Sc 0.500 0.248 0.671
Sc 0.500 0.748 0.329
In 0.000 0.261 0.824
In 0.500 0.255 0.346
In 0.000 0.761 0.176
In 0.500 0.755 0.654

---

4.
A plane-wave DFT calculation with PBE was carried out for a geometry-optimized LaYErPu structure.

Results
Formation energy from the elements, kJ/mol of formula units: 80

a b c (Å): 5.651 5.651 5.651
angles (deg): 60.00 60.00 60.00
Fractional coordinates of all 4 atoms:
Y 0.250 0.250 0.250
La 0.000 0.000 0.000
Pu 0.750 0.750 0.750
Er 0.500 0.500 0.500

---

5.
A plane-wave DFT calculation with PBE was carried out for a geometry-optimized KCo3 structure.

Results
Formation energy from the elements, kJ/mol of formula units: 473
E above lowest polymorph, meV per atom: 571

a b c (Å): 4.881 4.881 2.588
angles (deg): 90.00 90.00 90.00
Fractional coordinates of all 4 atoms:
Co 0.000 0.000 0.000
Co 0.500 0.000 0.500
Co 0.500 0.500 0.000
K 0.000 0.500 0.500

---

6.
A plane-wave DFT calculation with PBE was carried out for a geometry-optimized CuRu2W structure.

Results
Formation energy from the elements, kJ/mol of formula units: 34
E above lowest polymorph, meV per atom: 13

a b c (Å): 3.139 3.139 5.735
angles (deg): 90.00 90.00 90.00
Fractional coordinates of all 4 atoms:
Cu 0.500 0.500 0.750
Ru 0.000 0.000 0.992
Ru 0.000 0.000 0.508
W 0.500 0.500 0.250

---

7.
A plane-wave DFT calculation with PBE was carried out for a geometry-optimized Cs2LaAgCl6 structure.

Results
E above lowest polymorph, meV per atom: 0
Formation energy (no corrections), eV/atom: -1.8751

a b c (Å): 7.784 7.771 11.208
angles (deg): 90.00 89.77 90.00
Fractional coordinates of all 20 atoms:
Cs 0.005 0.977 0.251
Cs 0.505 0.523 0.751
Cs 0.995 0.023 0.749
Cs 0.495 0.477 0.249
La 0.500 0.000 0.500
La 0.000 0.500 0.000
Ag 0.500 0.000 0.000
Ag 0.000 0.500 0.500
Cl 0.277 0.724 0.023
Cl 0.777 0.776 0.523
Cl 0.723 0.276 0.977
Cl 0.223 0.224 0.477
Cl 0.276 0.722 0.479
Cl 0.776 0.778 0.979
Cl 0.724 0.278 0.521
Cl 0.224 0.222 0.021
Cl 0.958 0.503 0.246
Cl 0.458 0.997 0.746
Cl 0.042 0.497 0.754
Cl 0.542 0.003 0.254

---

8.
A plane-wave DFT calculation with PBE was carried out for a geometry-optimized Cs2Cd2InBr6 structure.

Results
Formation energy (no corrections), eV/atom: -1.0654

a b c (Å): 8.393 8.239 9.395
angles (deg): 116.17 90.00 120.62
Fractional coordinates of all 11 atoms:
Cs 0.715 0.430 0.197
Cs 0.285 0.570 0.803
Cd 0.966 0.932 0.832
Cd 0.034 0.068 0.168
In 0.500 0.000 0.500
Br 0.751 0.503 0.613
Br 0.202 0.881 0.210
Br 0.320 0.119 0.790
Br 0.798 0.119 0.790
Br 0.680 0.881 0.210
Br 0.249 0.497 0.387

---

9.
A plane-wave DFT calculation with PBE was carried out for a geometry-optimized Gd2DyCl structure.

Results
Formation energy (no corrections), eV/atom: -0.6657

a b c (Å): 3.630 3.630 10.249
angles (deg): 79.80 79.80 60.00
Fractional coordinates of all 4 atoms:
Cl 0.000 0.000 0.000
Gd 0.739 0.739 0.782
Gd 0.261 0.261 0.218
Dy 0.500 0.500 0.500

---

10.
A plane-wave DFT calculation with PBE was carried out for a geometry-optimized ErMg2Pb structure.

Results
Formation energy from the elements, kJ/mol of formula units: 0
E above lowest polymorph, meV per atom: 278

a b c (Å): 5.283 5.283 5.282
angles (deg): 59.99 59.99 60.00
Fractional coordinates of all 4 atoms:
Pb 0.500 0.500 0.500
Mg 0.750 0.750 0.750
Mg 0.250 0.250 0.250
Er 0.000 0.000 0.000

---

11.
A plane-wave DFT calculation with PBE was carried out for a geometry-optimized CaPaIn2 structure.

Results
Formation energy from the elements, kJ/mol of formula units: -77
E above lowest polymorph, meV per atom: 0

a b c (Å): 3.327 3.327 9.433
angles (deg): 90.00 90.00 90.00
Fractional coordinates of all 4 atoms:
Ca 0.500 0.500 0.500
Pa 0.500 0.500 0.000
In 0.000 0.000 0.752
In 0.000 0.000 0.248

---

12.
A plane-wave DFT calculation with PBE was carried out for a geometry-optimized Cs3NaPb structure.

Results
Formation energy from the elements, kJ/mol of formula units: -22
E above lowest polymorph, meV per atom: 0

a b c (Å): 6.621 7.469 13.210
angles (deg): 90.00 90.00 116.31
Fractional coordinates of all 10 atoms:
Cs 0.853 0.353 0.595
Cs 0.853 0.353 0.905
Cs 0.555 0.757 0.750
Cs 0.500 0.647 0.095
Cs 0.500 0.647 0.405
Cs 0.798 0.243 0.250
Na 0.176 0.000 0.500
Na 0.176 0.000 0.000
Pb 0.240 0.128 0.750
Pb 0.112 0.872 0.250

---

Number 1: volume 180.3 Å³/cell. Number 2: volume 190.7 Å³/cell. Number 3: volume 326.5 Å³/cell. Number 4: volume 127.6 Å³/cell. Number 5: volume 61.7 Å³/cell. Number 6: volume 56.5 Å³/cell. Number 7: volume 677.9 Å³/cell. Number 8: volume 480.1 Å³/cell. Number 9: volume 114.5 Å³/cell. Number 10: volume 104.3 Å³/cell. Number 11: volume 104.4 Å³/cell. Number 12: volume 585.6 Å³/cell.